# Nd2Dy3Al3 (PBE, optimized geometry)
data_Nd2Dy3Al3
_chemical_formula_sum 'Nd2 Dy3 Al3'
_space_group_name_H-M_alt 'P m m m'
_space_group_IT_number 47
_cell_length_a 4.8364
_cell_length_b 4.8517
_cell_length_c 8.9540
_cell_angle_alpha 90.00
_cell_angle_beta 90.00
_cell_angle_gamma 90.00
loop_
_space_group_symop_operation_xyz
'x,y,z'
'-x,-y,-z'
'-x,-y,z'
'x,y,-z'
'x,-y,-z'
'-x,y,z'
'-x,y,-z'
'x,-y,z'
loop_
_atom_site_label
_atom_site_fract_x
_atom_site_fract_y
_atom_site_fract_z
Nd1 0.0000 0.0000 0.2346
Dy1 0.5000 0.0000 0.5000
Dy2 0.5000 0.5000 0.2217
Al1 0.0000 0.5000 0.0000
Al2 0.0000 0.5000 0.5000
Al3 0.5000 0.0000 0.0000
# ΔE_f: -254 meV/atom
# N(E_F): 8.1 states/eV/f.u.
# electronic total energy: -4.575 eV per atom
# distance to the lowest polymorph of the same formula: 0.13 eV per formula unit